# 1
PmY4Tl4: relaxed, GGA-PBE.

Computed properties:
**Crystal system**: tetragonal
**Formation enthalpy at 0 K**: -0.188 eV/atom
**ρ**: 8.21 Mg/m³
**Final energy**: -83.5 eV/cell

```
data_PmY4Tl4
_chemical_formula_sum 'Pm2 Y8 Tl8'
_space_group_name_H-M_alt 'P 42/n'
_space_group_IT_number 86
_cell_length_a 9.491
_cell_length_b 9.491
_cell_length_c 5.921
_cell_angle_alpha 90.00
_cell_angle_beta 90.00
_cell_angle_gamma 90.00
loop_
_space_group_symop_operation_xyz
'x,y,z'
'-x,-y,-z'
'-y,x+1/2,z+1/2'
'y,-x+1/2,-z+1/2'
'-x+1/2,-y+1/2,z'
'x+1/2,y+1/2,-z'
'y+1/2,-x,z+1/2'
'-y+1/2,x,-z+1/2'
loop_
_atom_site_label
_atom_site_type_symbol
_atom_site_fract_x
_atom_site_fract_y
_atom_site_fract_z
Pm1 Pm 0.250 0.250 0.250
Y1 Y 0.092 0.829 0.637
Tl1 Tl 0.038 0.146 0.854
```

# 2
Na2Ga3Si: relaxed, GGA-PBE.

Computed properties:
**Crystal system**: monoclinic
**ρ**: 3.82 Mg/m³
**Final energy**: -35.6 eV/cell
**Formation energy (no corrections)**: -2.53 kcal/mol of atoms

```
data_Na2Ga3Si
_chemical_formula_sum 'Na4 Ga6 Si2'
_space_group_name_H-M_alt 'C 1 m 1'
_space_group_IT_number 8
_space_group_name_Hall 'C -2y'
_cell_length_a 10.527
_cell_length_b 4.297
_cell_length_c 7.487
_cell_angle_alpha 90.00
_cell_angle_beta 133.38
_cell_angle_gamma 90.00
loop_
_atom_site_label
_atom_site_type_symbol
_atom_site_fract_x
_atom_site_fract_y
_atom_site_fract_z
Na1 Na 0.000 0.000 0.000
Na2 Na 0.151 0.000 0.648
Ga1 Ga 0.220 0.500 0.034
Ga2 Ga 0.236 0.500 0.406
Ga3 Ga 0.416 0.000 0.245
Si1 Si 0.422 0.000 0.601
```

# 3
LiCuIr3: relaxed, GGA-PBE.

Computed properties:
**Crystal system**: cubic
**Relative energy among the computed polymorphs**: 0 meV/atom
**Formation enthalpy at 0 K**: 1.058 eV/atom
**ρ**: 15.49 Mg/m³
**Final energy**: -27.3 eV/cell

```
data_LiCuIr3
_chemical_formula_sum 'Li1 Cu1 Ir3'
_space_group_name_H-M_alt 'P m -3 m'
_space_group_IT_number 221
_space_group_name_Hall '-P 4 2 3'
_cell_length_a 4.109
_cell_length_b 4.109
_cell_length_c 4.109
_cell_angle_alpha 90.00
_cell_angle_beta 90.00
_cell_angle_gamma 90.00
loop_
_atom_site_label
_atom_site_type_symbol
_atom_site_fract_x
_atom_site_fract_y
_atom_site_fract_z
Li1 Li 0.000 0.000 0.000
Cu1 Cu 0.500 0.500 0.500
Ir1 Ir 0.000 0.000 0.500
```

# 4
HoThMg2: relaxed, GGA-PBE.

Computed properties:
**Crystal system**: tetragonal
**Relative energy among the computed polymorphs**: 7 meV/atom
**Formation enthalpy at 0 K**: 0.012 eV/atom
**ρ**: 6.71 Mg/m³
**Final energy**: -15.1 eV/cell

```
data_HoThMg2
_chemical_formula_sum 'Ho1 Th1 Mg2'
_space_group_name_H-M_alt 'P 4/m m m'
_space_group_IT_number 123
_space_group_name_Hall '-P 4 2'
_cell_length_a 3.766
_cell_length_b 3.766
_cell_length_c 7.773
_cell_angle_alpha 90.00
_cell_angle_beta 90.00
_cell_angle_gamma 90.00
loop_
_atom_site_label
_atom_site_type_symbol
_atom_site_fract_x
_atom_site_fract_y
_atom_site_fract_z
Ho1 Ho 0.000 0.000 0.000
Th1 Th 0.000 0.000 0.500
Mg1 Mg 0.500 0.500 0.238
```

# 5
Ce3N4: relaxed, GGA-PBE.

Computed properties:
**Crystal system**: cubic
**ρ**: 6.63 Mg/m³
**Final energy**: -56.9 eV/cell
**Formation energy (no corrections)**: -19.15 kcal/mol of atoms

```
data_Ce3N4
_chemical_formula_sum 'Ce3 N4'
_space_group_name_H-M_alt 'P m -3 m'
_space_group_IT_number 221
_space_group_name_Hall '-P 4 2 3'
_cell_length_a 4.922
_cell_length_b 4.922
_cell_length_c 4.922
_cell_angle_alpha 90.00
_cell_angle_beta 90.00
_cell_angle_gamma 90.00
loop_
_atom_site_label
_atom_site_type_symbol
_atom_site_fract_x
_atom_site_fract_y
_atom_site_fract_z
Ce1 Ce 0.000 0.000 0.500
N1 N 0.000 0.000 0.000
N2 N 0.000 0.500 0.500
```

# 6
BaNa2Ca4: relaxed, GGA-PBE.

Computed properties:
**Crystal system**: orthorhombic
**Relative energy among the computed polymorphs**: 0 meV/atom
**Formation enthalpy at 0 K**: 0.037 eV/atom
**ρ**: 1.85 Mg/m³
**Final energy**: -24.6 eV/cell

```
data_BaNa2Ca4
_chemical_formula_sum 'Ba2 Na4 Ca8'
_space_group_name_H-M_alt 'C m m m'
_space_group_IT_number 65
_space_group_name_Hall '-C 2 2'
_cell_length_a 6.373
_cell_length_b 24.023
_cell_length_c 4.022
_cell_angle_alpha 90.00
_cell_angle_beta 90.00
_cell_angle_gamma 90.00
loop_
_atom_site_label
_atom_site_type_symbol
_atom_site_fract_x
_atom_site_fract_y
_atom_site_fract_z
Ba1 Ba 0.000 0.000 0.000
Na1 Na 0.000 0.428 0.500
Ca1 Ca 0.000 0.158 0.500
Ca2 Ca 0.000 0.295 0.000
```

# 7
NiP2WS: relaxed, GGA-PBE.

Computed properties:
**Crystal system**: tetragonal
**Relative energy among the computed polymorphs**: 0 meV/atom
**ρ**: 5.49 Mg/m³
**Final energy**: -29.5 eV/cell
**Formation energy (no corrections)**: 19.39 kcal/mol of atoms

```
data_NiP2WS
_chemical_formula_sum 'Ni1 P2 W1 S1'
_space_group_name_H-M_alt 'P 4/m m m'
_space_group_IT_number 123
_space_group_name_Hall '-P 4 2'
_cell_length_a 4.723
_cell_length_b 4.723
_cell_length_c 4.560
_cell_angle_alpha 90.00
_cell_angle_beta 90.00
_cell_angle_gamma 90.00
loop_
_atom_site_label
_atom_site_type_symbol
_atom_site_fract_x
_atom_site_fract_y
_atom_site_fract_z
Ni1 Ni 0.000 0.000 0.000
P1 P 0.000 0.500 0.500
W1 W 0.500 0.500 0.500
S1 S 0.500 0.500 0.000
```

# 8
Sr3Ge2B6O16: relaxed, GGA-PBE.

Computed properties:
**Crystal system**: triclinic
**ρ**: 3.95 Mg/m³
**Final energy**: -201.0 eV/cell
**Formation energy (no corrections)**: -57.49 kcal/mol of atoms

```
data_Sr3Ge2B6O16
_chemical_formula_sum 'Sr3 Ge2 B6 O16'
_space_group_name_H-M_alt 'P -1'
_space_group_IT_number 2
_space_group_name_Hall '-P 1'
_cell_length_a 5.059
_cell_length_b 7.457
_cell_length_c 8.570
_cell_angle_alpha 76.73
_cell_angle_beta 77.24
_cell_angle_gamma 89.74
loop_
_atom_site_label
_atom_site_type_symbol
_atom_site_fract_x
_atom_site_fract_y
_atom_site_fract_z
Sr1 Sr 0.000 0.000 0.000
Sr2 Sr 0.092 0.593 0.758
Ge1 Ge 0.303 0.187 0.554
B1 B 0.266 0.745 0.304
B2 B 0.458 0.089 0.242
B3 B 0.461 0.308 0.961
O1 O 0.033 0.308 0.641
O2 O 0.189 0.323 0.987
O3 O 0.270 0.187 0.353
O4 O 0.296 0.966 0.689
O5 O 0.321 0.936 0.208
O6 O 0.371 0.617 0.195
O7 O 0.382 0.704 0.454
O8 O 0.412 0.777 0.914
```